First-principles (PBEsol) data for crystalline CaTcP2 at its relaxed geometry, as listed in Alexandria via LeMat-Bulk.

The space group is R3m (No. 160, hexagonal axes) and the conventional cell measures 3.8185, 3.8185 and 17.4066 Å, with angles of 90.00, 90.00 and 120.00 degrees. The inequivalent atoms are Ca at (0.0000, 0.0000, 0.0000), Tc at (0.0000, 0.0000, 0.1866), P at (0.0000, 0.0000, 0.5548) and P at (0.0000, 0.0000, 0.7764).

The calculation puts the offset from the most stable computed form at 0.0 kJ/mol of atoms.